# 1
Compound: NiRu2Rh
Source: Alexandria via LeMat-Bulk
Functional: SCAN
Structure: PBEsol geometry

## Properties
ΔH_f (0 K) (eV/atom): 0.153
Space-group type: R-3m
Size of the total moment (μB/f.u.): 0.01
Relative energy among the computed polymorphs (meV per atom): 59.4

The structure in CIF format:
```
data_NiRu2Rh
_cell_length_a 2.6318
_cell_length_b 2.6318
_cell_length_c 8.6367
_cell_angle_alpha 81.24
_cell_angle_beta 81.24
_cell_angle_gamma 60.00
_space_group_name_H-M_alt 'P 1'
_space_group_IT_number 1
_space_group_name_Hall 'P 1'
loop_
_atom_site_label
_atom_site_type_symbol
_atom_site_fract_x
_atom_site_fract_y
_atom_site_fract_z
_atom_site_occupancy
Ru1 Ru 0.7525 0.7525 0.7426 1
Ru2 Ru 0.2475 0.2475 0.2574 1
Rh1 Rh 0.0000 0.0000 0.0000 1
Ni1 Ni 0.5000 0.5000 0.5000 1
```

=====

# 2
Compound: Be2AlRe
Source: Alexandria via LeMat-Bulk
Functional: SCAN
Structure: PBEsol geometry

## Properties
ΔH_f (0 K) (eV/atom): 0.181
Space-group type: Cmmm
Size of the total moment (μB/f.u.): 0.14

The structure in CIF format:
```
data_Be2AlRe
_cell_length_a 2.5889
_cell_length_b 2.5889
_cell_length_c 7.6793
_cell_angle_alpha 90.00
_cell_angle_beta 90.00
_cell_angle_gamma 106.38
_space_group_name_H-M_alt 'P 1'
_space_group_IT_number 1
_space_group_name_Hall 'P 1'
loop_
_atom_site_label
_atom_site_type_symbol
_atom_site_fract_x
_atom_site_fract_y
_atom_site_fract_z
_atom_site_occupancy
Be1 Be 0.0000 0.0000 0.7363 1
Al1 Al 0.5000 0.5000 0.0000 1
Re1 Re 0.5000 0.5000 0.5000 1
Be2 Be 0.0000 0.0000 0.2637 1
```

=====

# 3
Compound: CrInW2
Source: Alexandria via LeMat-Bulk
Functional: SCAN
Structure: PBEsol geometry

## Properties
ΔH_f (0 K) (eV/atom): 0.488
Space-group type: Imm2
Size of the total moment (μB/f.u.): 0.00

The structure in CIF format:
```
data_CrInW2
_cell_length_a 3.1953
_cell_length_b 4.4758
_cell_length_c 5.1410
_cell_angle_alpha 115.80
_cell_angle_beta 108.11
_cell_angle_gamma 90.00
_space_group_name_H-M_alt 'P 1'
_space_group_IT_number 1
_space_group_name_Hall 'P 1'
loop_
_atom_site_label
_atom_site_type_symbol
_atom_site_fract_x
_atom_site_fract_y
_atom_site_fract_z
_atom_site_occupancy
Cr1 Cr 0.4854 0.4854 0.9707 1
W1 W 0.7617 0.2617 0.5233 1
W2 W 0.0132 0.0132 0.0264 1
In1 In 0.2398 0.7398 0.4796 1
```

=====

# 4
Compound: TaIrPt2
Source: Alexandria via LeMat-Bulk
Functional: SCAN
Structure: PBEsol geometry

## Properties
ΔH_f (0 K) (eV/atom): -0.432
Space-group type: C2/m
Size of the total moment (μB/f.u.): 0.00
Relative energy among the computed polymorphs (meV per atom): 275.3

The structure in CIF format:
```
data_TaIrPt2
_cell_length_a 2.7925
_cell_length_b 4.7899
_cell_length_c 4.8358
_cell_angle_alpha 99.98
_cell_angle_beta 106.78
_cell_angle_gamma 90.00
_space_group_name_H-M_alt 'P 1'
_space_group_IT_number 1
_space_group_name_Hall 'P 1'
loop_
_atom_site_label
_atom_site_type_symbol
_atom_site_fract_x
_atom_site_fract_y
_atom_site_fract_z
_atom_site_occupancy
Pt1 Pt 0.7513 0.7511 0.5025 1
Pt2 Pt 0.2487 0.2489 0.4975 1
Ir1 Ir 0.5000 0.0000 0.0000 1
Ta1 Ta 0.0000 0.5000 0.0000 1
```

=====

# 5
Compound: Zn2GaHg2
Source: Alexandria via LeMat-Bulk
Functional: SCAN
Structure: PBEsol geometry

## Properties
ΔH_f (0 K) (eV/atom): 0.236
Space-group type: I4/mmm
Size of the total moment (μB/f.u.): 0.00

The structure in CIF format:
```
data_Zn2GaHg2
_cell_length_a 4.0757
_cell_length_b 4.0757
_cell_length_c 6.8288
_cell_angle_alpha 107.36
_cell_angle_beta 107.36
_cell_angle_gamma 90.00
_space_group_name_H-M_alt 'P 1'
_space_group_IT_number 1
_space_group_name_Hall 'P 1'
loop_
_atom_site_label
_atom_site_type_symbol
_atom_site_fract_x
_atom_site_fract_y
_atom_site_fract_z
_atom_site_occupancy
Hg1 Hg 0.2500 0.7500 0.5000 1
Ga1 Ga 0.0000 0.0000 0.0000 1
Hg2 Hg 0.7500 0.2500 0.5000 1
Zn1 Zn 0.4038 0.4038 0.8076 1
Zn2 Zn 0.5962 0.5962 0.1924 1
```

=====

# 6
Compound: Ca2CrWO6
Source: Alexandria via LeMat-Bulk
Functional: SCAN
Structure: PBEsol geometry

## Properties
Space-group type: P2_1/c
Size of the total moment (μB/f.u.): 2.00
Raw formation energy (eV/atom): -2.82
Relative energy among the computed polymorphs (meV per atom): 0.0

The structure in CIF format:
```
data_Ca2CrWO6
_cell_length_a 5.3489
_cell_length_b 5.4556
_cell_length_c 7.6150
_cell_angle_alpha 90.00
_cell_angle_beta 90.21
_cell_angle_gamma 90.00
_space_group_name_H-M_alt 'P 1'
_space_group_IT_number 1
_space_group_name_Hall 'P 1'
loop_
_atom_site_label
_atom_site_type_symbol
_atom_site_fract_x
_atom_site_fract_y
_atom_site_fract_z
_atom_site_occupancy
W1 W 0.5000 0.5000 0.0000 1
O1 O 0.2071 0.7084 0.0382 1
Cr1 Cr 0.0000 0.0000 0.0000 1
Ca1 Ca 0.5093 0.0454 0.7485 1
Ca2 Ca 0.4907 0.9546 0.2515 1
Ca3 Ca 0.9907 0.5454 0.7515 1
O2 O 0.5750 0.5174 0.2502 1
O3 O 0.7071 0.7916 0.5382 1
O4 O 0.4250 0.4826 0.7498 1
O5 O 0.2929 0.2084 0.4618 1
O6 O 0.7929 0.2916 0.9618 1
O7 O 0.7066 0.7902 0.9600 1
O8 O 0.2066 0.7098 0.4600 1
O9 O 0.9250 0.0174 0.2498 1
W2 W 0.0000 0.0000 0.5000 1
Cr2 Cr 0.5000 0.5000 0.5000 1
O10 O 0.2934 0.2098 0.0400 1
O11 O 0.0750 0.9826 0.7502 1
Ca4 Ca 0.0093 0.4546 0.2485 1
O12 O 0.7934 0.2902 0.5400 1
```

=====

# 7
Compound: BeNi2Au
Source: Alexandria via LeMat-Bulk
Functional: SCAN
Structure: PBEsol geometry

## Properties
ΔH_f (0 K) (eV/atom): -0.189
Space-group type: P4/mmm
Size of the total moment (μB/f.u.): 0.00

The structure in CIF format:
```
data_BeNi2Au
_cell_length_a 2.6702
_cell_length_b 2.6702
_cell_length_c 6.2827
_cell_angle_alpha 90.00
_cell_angle_beta 90.00
_cell_angle_gamma 90.00
_space_group_name_H-M_alt 'P 1'
_space_group_IT_number 1
_space_group_name_Hall 'P 1'
loop_
_atom_site_label
_atom_site_type_symbol
_atom_site_fract_x
_atom_site_fract_y
_atom_site_fract_z
_atom_site_occupancy
Be1 Be 0.5000 0.5000 0.5000 1
Au1 Au 0.5000 0.5000 0.0000 1
Ni1 Ni 0.0000 0.0000 0.6967 1
Ni2 Ni 0.0000 0.0000 0.3033 1
```

=====

# 8
Compound: LiHg2Au
Source: Alexandria via LeMat-Bulk
Functional: SCAN
Structure: PBEsol geometry

## Properties
ΔH_f (0 K) (eV/atom): -0.185
Space-group type: C2/m
Size of the total moment (μB/f.u.): 0.00

The structure in CIF format:
```
data_LiHg2Au
_cell_length_a 3.0808
_cell_length_b 5.2722
_cell_length_c 5.6077
_cell_angle_alpha 117.46
_cell_angle_beta 105.03
_cell_angle_gamma 91.88
_space_group_name_H-M_alt 'P 1'
_space_group_IT_number 1
_space_group_name_Hall 'P 1'
loop_
_atom_site_label
_atom_site_type_symbol
_atom_site_fract_x
_atom_site_fract_y
_atom_site_fract_z
_atom_site_occupancy
Au1 Au 0.0000 0.5000 0.0000 1
Hg1 Hg 0.0000 0.0000 0.5000 1
Hg2 Hg 0.5000 0.5000 0.5000 1
Li1 Li 0.5000 0.0000 0.0000 1
```

=====

# 9
Compound: Ti12Cu9Bi2O36
Source: Alexandria via LeMat-Bulk
Functional: SCAN
Structure: PBEsol geometry

## Properties
Space-group type: P-3
Size of the total moment (μB/f.u.): 9.00
Raw formation energy (eV/atom): -2.36

The structure in CIF format:
```
data_Ti12Cu9Bi2O36
_cell_length_a 6.4130
_cell_length_b 10.4261
_cell_length_c 10.4261
_cell_angle_alpha 120.00
_cell_angle_beta 90.00
_cell_angle_gamma 90.00
_space_group_name_H-M_alt 'P 1'
_space_group_IT_number 1
_space_group_name_Hall 'P 1'
loop_
_atom_site_label
_atom_site_type_symbol
_atom_site_fract_x
_atom_site_fract_y
_atom_site_fract_z
_atom_site_occupancy
O1 O 0.8303 0.1485 0.1639 1
O2 O 0.4864 0.8092 0.4923 1
Cu1 Cu 0.5000 0.0000 0.5000 1
Ti1 Ti 0.3369 0.8409 0.6830 1
O3 O 0.5899 0.2685 0.0456 1
Cu2 Cu 0.5000 0.5000 0.5000 1
O4 O 0.1526 0.4768 0.8269 1
O5 O 0.8474 0.6499 0.4768 1
Cu3 Cu 0.1615 0.1682 0.8323 1
O6 O 0.1526 0.1731 0.6499 1
O7 O 0.1697 0.9846 0.1485 1
O8 O 0.4101 0.2229 0.2685 1
O9 O 0.1526 0.3501 0.5232 1
O10 O 0.2519 0.4470 0.0718 1
Cu4 Cu 0.8385 0.8318 0.1677 1
O11 O 0.7481 0.5530 0.9282 1
O12 O 0.0857 0.7084 0.1145 1
O13 O 0.9143 0.1145 0.4061 1
O14 O 0.5136 0.1908 0.5077 1
O15 O 0.7481 0.3752 0.4470 1
Ti2 Ti 0.0000 0.0000 0.0000 1
Ti3 Ti 0.6631 0.1579 0.8409 1
Cu5 Cu 0.8385 0.3359 0.1682 1
O16 O 0.9143 0.2916 0.8855 1
O17 O 0.4101 0.7315 0.9544 1
O18 O 0.9143 0.5939 0.7084 1
Ti4 Ti 0.6631 0.6830 0.8421 1
O19 O 0.0857 0.8855 0.5939 1
Ti5 Ti 0.3264 0.3333 0.6667 1
O20 O 0.5136 0.3169 0.8092 1
O21 O 0.4864 0.6831 0.1908 1
Ti6 Ti 0.0000 0.5000 0.0000 1
Ti7 Ti 0.0000 0.5000 0.5000 1
O22 O 0.5136 0.4923 0.6831 1
O23 O 0.7481 0.0718 0.6248 1
O24 O 0.2519 0.6248 0.5530 1
O25 O 0.8303 0.0154 0.8515 1
O26 O 0.4101 0.0456 0.7771 1
Cu6 Cu 0.8385 0.8323 0.6641 1
O27 O 0.8474 0.5232 0.1731 1
O28 O 0.8303 0.8361 0.9846 1
O29 O 0.4864 0.5077 0.3169 1
O30 O 0.2519 0.9282 0.3752 1
O31 O 0.1697 0.1639 0.0154 1
O32 O 0.1697 0.8515 0.8361 1
O33 O 0.5899 0.7771 0.7315 1
Ti8 Ti 0.3369 0.8421 0.1591 1
O34 O 0.5899 0.9544 0.2229 1
Cu7 Cu 0.1615 0.1677 0.3359 1
Ti9 Ti 0.6631 0.1591 0.3170 1
Bi1 Bi 0.1949 0.6667 0.3333 1
Bi2 Bi 0.8051 0.3333 0.6667 1
O35 O 0.0857 0.4061 0.2916 1
Cu8 Cu 0.1615 0.6641 0.8318 1
Ti10 Ti 0.3369 0.3170 0.1579 1
O36 O 0.8474 0.8269 0.3501 1
Cu9 Cu 0.5000 0.5000 0.0000 1
Ti11 Ti 0.6736 0.6667 0.3333 1
Ti12 Ti 0.0000 0.0000 0.5000 1
```

=====

# 10
Compound: CrIn3Ru
Source: Alexandria via LeMat-Bulk
Functional: SCAN
Structure: PBEsol geometry

## Properties
ΔH_f (0 K) (eV/atom): 1.103
Space-group type: Pm-3m
Size of the total moment (μB/f.u.): 5.57

The structure in CIF format:
```
data_CrIn3Ru
_cell_length_a 4.8841
_cell_length_b 4.8841
_cell_length_c 4.8841
_cell_angle_alpha 90.00
_cell_angle_beta 90.00
_cell_angle_gamma 90.00
_space_group_name_H-M_alt 'P 1'
_space_group_IT_number 1
_space_group_name_Hall 'P 1'
loop_
_atom_site_label
_atom_site_type_symbol
_atom_site_fract_x
_atom_site_fract_y
_atom_site_fract_z
_atom_site_occupancy
Ru1 Ru 0.5000 0.5000 0.5000 1
In1 In 0.5000 0.0000 0.0000 1
Cr1 Cr 0.0000 0.0000 0.0000 1
In2 In 0.0000 0.0000 0.5000 1
In3 In 0.0000 0.5000 0.0000 1
```

=====

# 11
Compound: ThNCl
Source: Alexandria via LeMat-Bulk
Functional: SCAN
Structure: PBEsol geometry

## Properties
Space-group type: P4/nmm
Size of the total moment (μB/f.u.): 0.00
Raw formation energy (eV/atom): -2.39

The structure in CIF format:
```
data_ThNCl
_cell_length_a 4.0494
_cell_length_b 4.0494
_cell_length_c 6.8842
_cell_angle_alpha 90.00
_cell_angle_beta 90.00
_cell_angle_gamma 90.00
_space_group_name_H-M_alt 'P 1'
_space_group_IT_number 1
_space_group_name_Hall 'P 1'
loop_
_atom_site_label
_atom_site_type_symbol
_atom_site_fract_x
_atom_site_fract_y
_atom_site_fract_z
_atom_site_occupancy
Cl1 Cl 0.0000 0.5000 0.3783 1
N1 N 0.0000 0.0000 0.0000 1
Th1 Th 0.0000 0.5000 0.8324 1
Cl2 Cl 0.5000 0.0000 0.6217 1
N2 N 0.5000 0.5000 0.0000 1
Th2 Th 0.5000 0.0000 0.1676 1
```

=====

# 12
Compound: Te2SF
Source: Alexandria via LeMat-Bulk
Functional: SCAN
Structure: PBEsol geometry

## Properties
Space-group type: Fm-3m
Size of the total moment (μB/f.u.): 0.00
Raw formation energy (eV/atom): -0.06
Relative energy among the computed polymorphs (meV per atom): 194.3

The structure in CIF format:
```
data_Te2SF
_cell_length_a 4.7430
_cell_length_b 4.7430
_cell_length_c 4.7430
_cell_angle_alpha 60.00
_cell_angle_beta 60.00
_cell_angle_gamma 60.00
_space_group_name_H-M_alt 'P 1'
_space_group_IT_number 1
_space_group_name_Hall 'P 1'
loop_
_atom_site_label
_atom_site_type_symbol
_atom_site_fract_x
_atom_site_fract_y
_atom_site_fract_z
_atom_site_occupancy
S1 S 0.5000 0.5000 0.5000 1
F1 F 0.0000 0.0000 0.0000 1
Te1 Te 0.2500 0.2500 0.2500 1
Te2 Te 0.7500 0.7500 0.7500 1
```